1.
A geometry-optimized LiH2F6 structure, computed with PBE. Values from VASP.

The structure in Quantum ESPRESSO input format:
```
&SYSTEM
  ibrav = 0, nat = 18, ntyp = 3
/
ATOMIC_SPECIES
Li 6.94 Li.upf
H 1.01 H.upf
F 19.00 F.upf
CELL_PARAMETERS angstrom
-1.639 -3.984 4.918
5.782 1.287 1.100
-2.830 5.143 1.354
ATOMIC_POSITIONS crystal
Li 0.250 0.950 0.050
Li 0.750 0.050 0.950
H 0.159 0.366 0.975
H 0.341 0.025 0.634
H 0.841 0.634 0.025
H 0.659 0.975 0.366
F 0.412 0.378 0.492
F 0.088 0.508 0.622
F 0.588 0.622 0.508
F 0.912 0.492 0.378
F 0.736 0.948 0.593
F 0.764 0.407 0.052
F 0.264 0.052 0.407
F 0.236 0.593 0.948
F 0.102 0.205 0.995
F 0.398 0.005 0.795
F 0.898 0.795 0.005
F 0.602 0.995 0.205
```

Values from the calculation:
Symmetry: C2/c (15)

2.
A geometry-optimized Li2HF4 structure, computed with PBE. Values from VASP.

The structure in Quantum ESPRESSO input format:
```
&SYSTEM
  ibrav = 0, nat = 7, ntyp = 3
/
ATOMIC_SPECIES
H 1.01 H.upf
Li 6.94 Li.upf
F 19.00 F.upf
CELL_PARAMETERS angstrom
3.311 0.000 0.000
0.000 3.311 0.000
1.656 1.656 5.510
ATOMIC_POSITIONS crystal
H 0.000 0.000 0.000
Li 0.382 0.382 0.235
Li 0.618 0.618 0.765
F 0.214 0.214 0.573
F 0.786 0.786 0.427
F 0.000 0.500 0.000
F 0.500 0.000 0.000
```

Values from the calculation:
Symmetry: I4/mmm (139)
E above lowest polymorph: 8.64 kcal/mol of atoms

| no. | total energy (eV/atom) | volume (Å³/atom) |
| --- | --- | --- |
| 1 | -3.51 | 11.898 |
| 2 | -3.76 | 8.632 |